No. 1
VASP calculation (PBE-GGA) on crystalline TbPmYAl at its relaxed geometry.

abc: 5.405 5.405 5.405
angles: 60.00 60.00 60.00
Site moments in Bohr magnetons follow the coordinates.
Atoms (fractional coordinates):
Tb 0.250 0.250 0.250  0.27
Y 0.750 0.750 0.750  0.21
Al 0.000 0.000 0.000  0.00
Pm 0.500 0.500 0.500  0.32

DFT formation energy	-16	meV/atom
SG	F-43m (216)
energy relative to the lowest polymorph listed for this composition	181.1	meV per atom

---

No. 2
VASP calculation (PBE-GGA) on crystalline TbPm2Al2Zn2 at its relaxed geometry.

abc: 4.532 4.532 9.662
angles: 76.44 76.44 60.00
Atoms (fractional coordinates):
Tb 0.000 0.000 0.000
Al 0.732 0.732 0.803
Pm 0.873 0.873 0.380
Zn 0.394 0.394 0.817
Al 0.268 0.268 0.197
Zn 0.606 0.606 0.183
Pm 0.127 0.127 0.620

DFT formation energy	-318	meV/atom
SG	R-3m (166)

---

No. 3
VASP calculation (PBE-GGA) on crystalline TbPmAlZn at its relaxed geometry.

abc: 5.164 5.164 5.164
angles: 60.00 60.00 60.00
Atoms (fractional coordinates):
Tb 0.750 0.750 0.750
Zn 0.000 0.000 0.000
Al 0.500 0.500 0.500
Pm 0.250 0.250 0.250

DFT formation energy	-354	meV/atom
SG	F-43m (216)

---

What did we get for DOS at the Fermi energy? Answer: 6.08, 3.96, 3.52 states/eV/cell, in the order shown.